*i*
Below is an optimized crystal structure of KNi2W, with properties calculated at the PBE level.

Unit cell a=4.927 b=4.927 c=2.627 alpha=90.00 beta=90.00 gamma=90.00
Element x y z (fractional)
K 0.000 0.000 0.000
Ni 0.000 0.500 0.500
Ni 0.500 0.000 0.500
W 0.500 0.500 0.000

The value obtained for the total magnetic moment is 0.00 μB per formula unit.


*ii*
Below is an optimized crystal structure of KNi2W, with properties calculated at the PBE level.

Unit cell a=8.821 b=2.716 c=6.695 alpha=90.00 beta=96.70 gamma=90.00
Element x y z (fractional)
K 0.000 0.000 0.000
K 0.500 0.500 0.000
Ni 0.271 0.500 0.315
Ni 0.479 0.000 0.498
Ni 0.771 0.000 0.315
Ni 0.979 0.500 0.498
W 0.211 0.000 0.594
W 0.711 0.500 0.594

The value obtained for the total magnetic moment is 0.00 μB per formula unit.


Taking the most stable structure as the zero point, the relative energies in meV per atom are *i* 136; *ii* 0.


*i*
Below is an optimized crystal structure of KNi3W, with properties calculated at the PBE level.

Unit cell a=4.361 b=4.361 c=4.361 alpha=90.00 beta=90.00 gamma=90.00
Element x y z (fractional)
K 0.000 0.000 0.000
Ni 0.000 0.000 0.500
Ni 0.000 0.500 0.000
Ni 0.500 0.000 0.000
W 0.500 0.500 0.500

The value obtained for the total magnetic moment is 3.15 μB per formula unit.


*ii*
Below is an optimized crystal structure of KNi3W, with properties calculated at the PBE level.

Unit cell a=4.687 b=4.687 c=4.687 alpha=90.00 beta=90.00 gamma=90.00
Element x y z (fractional)
K 0.000 0.000 0.000
Ni 0.000 0.500 0.500
Ni 0.500 0.000 0.500
Ni 0.500 0.500 0.000
W 0.500 0.500 0.500

The value obtained for the total magnetic moment is 0.00 μB per formula unit.


Taking the most stable structure as the zero point, the relative energies in meV per atom are *i* 1348; *ii* 0.


*i*
Below is an optimized crystal structure of KY2Ni, with properties calculated at the PBE level.

Unit cell a=7.636 b=7.636 c=7.636 alpha=90.00 beta=90.00 gamma=90.00
Element x y z (fractional)
K 0.000 0.000 0.000
K 0.000 0.500 0.500
K 0.500 0.000 0.500
K 0.500 0.500 0.000
Y 0.000 0.000 0.500
Y 0.000 0.500 0.000
Y 0.250 0.250 0.750
Y 0.250 0.750 0.250
Y 0.500 0.000 0.000
Y 0.500 0.500 0.500
Y 0.750 0.250 0.250
Y 0.750 0.750 0.750
Ni 0.250 0.250 0.250
Ni 0.250 0.750 0.750
Ni 0.750 0.250 0.750
Ni 0.750 0.750 0.250

The value obtained for the total magnetic moment is 0.00 μB per formula unit.


*ii*
Below is an optimized crystal structure of KY2Ni, with properties calculated at the PBE level.

Unit cell a=3.461 b=3.461 c=10.469 alpha=90.00 beta=90.00 gamma=90.00
Element x y z (fractional)
K 0.000 0.000 0.000
Y 0.500 0.500 0.348
Y 0.500 0.500 0.652
Ni 0.000 0.000 0.500

The value obtained for the total magnetic moment is 0.00 μB per formula unit.


*iii*
Below is an optimized crystal structure of KY2Ni, with properties calculated at the PBE level.

Unit cell a=4.039 b=4.039 c=30.838 alpha=90.00 beta=90.00 gamma=120.00
Element x y z (fractional)
K 0.000 0.000 0.000
K 0.333 0.667 0.667
K 0.667 0.333 0.333
Y 0.000 0.000 0.212
Y 0.000 0.000 0.788
Y 0.333 0.667 0.455
Y 0.333 0.667 0.878
Y 0.667 0.333 0.122
Y 0.667 0.333 0.545
Ni 0.000 0.000 0.500
Ni 0.333 0.667 0.167
Ni 0.667 0.333 0.833

The value obtained for the total magnetic moment is 0.00 μB per formula unit.


Taking the most stable structure as the zero point, the relative energies in meV per atom are *i* 808; *ii* 30; *iii* 0.


*i*
Below is an optimized crystal structure of KZn3Ni, with properties calculated at the PBE level.

Unit cell a=4.759 b=4.759 c=4.759 alpha=90.00 beta=90.00 gamma=90.00
Element x y z (fractional)
K 0.000 0.000 0.000
Zn 0.000 0.500 0.500
Zn 0.500 0.000 0.500
Zn 0.500 0.500 0.000
Ni 0.500 0.500 0.500

The value obtained for the total magnetic moment is 0.00 μB per formula unit.


*ii*
Below is an optimized crystal structure of KZn3Ni, with properties calculated at the PBE level.

Unit cell a=6.206 b=6.206 c=6.206 alpha=90.00 beta=90.00 gamma=90.00
Element x y z (fractional)
K 0.000 0.000 0.000
Zn 0.000 0.000 0.500
Zn 0.000 0.500 0.000
Zn 0.500 0.000 0.000
Ni 0.500 0.500 0.500

The value obtained for the total magnetic moment is 1.06 μB per formula unit.


Taking the most stable structure as the zero point, the relative energies in meV per atom are *i* 0; *ii* 1391.